Zr2TlFeC | GGA-PBE | optimized geometry

a = 4.6958 Å, b = 4.6958 Å, c = 4.8151 Å
α = 90.00°, β = 90.00°, γ = 90.00°
Atoms (fractional coordinates):
Zr (0.0000, 0.5000, 0.0000)
Zr (0.5000, 0.0000, 0.0000)
Tl (0.0000, 0.0000, 0.5000)
Fe (0.0000, 0.0000, 0.0000)
C (0.5000, 0.5000, 0.5000)

***

Tm3FeC3 | GGA-PBE | optimized geometry

a = 6.5625 Å, b = 6.5625 Å, c = 4.9733 Å
α = 90.00°, β = 90.00°, γ = 100.95°
Atoms (fractional coordinates):
Tm (0.1080, 0.8920, 0.7500)
Tm (0.1657, 0.4075, 0.7500)
Tm (0.4075, 0.1657, 0.2500)
Tm (0.5925, 0.8343, 0.7500)
Tm (0.8343, 0.5925, 0.2500)
Tm (0.8920, 0.1080, 0.2500)
Fe (0.3028, 0.6972, 0.2500)
Fe (0.6972, 0.3028, 0.7500)
C (0.1230, 0.8770, 0.2500)
C (0.1713, 0.4279, 0.2500)
C (0.4279, 0.1713, 0.7500)
C (0.5721, 0.8287, 0.2500)
C (0.8287, 0.5721, 0.7500)
C (0.8770, 0.1230, 0.7500)

***

The following total DFT energy (no corrections) values (in eV/f.u.) correspond, in order, to the records above: -30.506; -51.770.